CsZr2HgRh: PBEsol geometry, meta-GGA SCAN.

a b c (Å): 4.7625 5.1798 5.1798
angles (deg): 90.00 90.00 90.00
Positions (direct):
Cs1 0.0000 0.0000 0.0000
Rh1 0.5000 0.0000 0.0000
Zr1 0.0000 0.5000 0.0000
Zr2 0.0000 0.0000 0.5000
Hg1 0.5000 0.5000 0.5000

Results
For the density of states at the Fermi level, the calculation gives 4.3 states/eV/cell. Its total DFT energy (no corrections) is -191.9 eV per cell. Its crystal system is tetragonal. The calculation puts the spin magnetization at 0.0 μB/f.u. The value obtained for the formation energy is 1850 meV per atom.